{
  "formula": "LiMg30CrO32",
  "functional": "PBE+U",
  "state": "relaxed",
  "lattice": [[8.4981, 0.0000, 0.0000], [0.0000, 8.4981, 0.0000], [0.0000, 0.0000, 8.5133]],
  "species": ["Li", "Mg", "Mg", "Mg", "Mg", "Mg", "Mg", "Mg", "Mg", "Mg", "Mg", "Mg", "Mg", "Mg", "Mg", "Mg", "Mg", "Mg", "Mg", "Mg", "Mg", "Mg", "Mg", "Mg", "Mg", "Mg", "Mg", "Mg", "Mg", "Mg", "Mg", "Cr", "O", "O", "O", "O", "O", "O", "O", "O", "O", "O", "O", "O", "O", "O", "O", "O", "O", "O", "O", "O", "O", "O", "O", "O", "O", "O", "O", "O", "O", "O", "O", "O"],
  "fractional_positions": [[0.0000, 0.0000, 0.0000], [0.0000, 0.2489, 0.2445], [0.0000, 0.2489, 0.7555], [0.0000, 0.5000, 0.0000], [0.0000, 0.5000, 0.5000], [0.0000, 0.7511, 0.2445], [0.0000, 0.7511, 0.7555], [0.2474, 0.2474, 0.0000], [0.2474, 0.7526, 0.0000], [0.2489, 0.0000, 0.2445], [0.2489, 0.0000, 0.7555], [0.2498, 0.5000, 0.2487], [0.2498, 0.5000, 0.7513], [0.2510, 0.2510, 0.5000], [0.2510, 0.7490, 0.5000], [0.5000, 0.0000, 0.0000], [0.5000, 0.0000, 0.5000], [0.5000, 0.2498, 0.2487], [0.5000, 0.2498, 0.7513], [0.5000, 0.5000, 0.0000], [0.5000, 0.5000, 0.5000], [0.5000, 0.7502, 0.2487], [0.5000, 0.7502, 0.7513], [0.7490, 0.2510, 0.5000], [0.7490, 0.7490, 0.5000], [0.7502, 0.5000, 0.2487], [0.7502, 0.5000, 0.7513], [0.7511, 0.0000, 0.2445], [0.7511, 0.0000, 0.7555], [0.7526, 0.2474, 0.0000], [0.7526, 0.7526, 0.0000], [0.0000, 0.0000, 0.5000], [0.0000, 0.0000, 0.2632], [0.0000, 0.0000, 0.7368], [0.0000, 0.2430, 0.5000], [0.0000, 0.2551, 0.0000], [0.0000, 0.5000, 0.2534], [0.0000, 0.5000, 0.7466], [0.0000, 0.7449, 0.0000], [0.0000, 0.7570, 0.5000], [0.2430, 0.0000, 0.5000], [0.2495, 0.2495, 0.2510], [0.2495, 0.2495, 0.7490], [0.2486, 0.5000, 0.5000], [0.2495, 0.7505, 0.2510], [0.2495, 0.7505, 0.7490], [0.2507, 0.5000, 0.0000], [0.2551, 0.0000, 0.0000], [0.5000, 0.0000, 0.2534], [0.5000, 0.0000, 0.7466], [0.5000, 0.2486, 0.5000], [0.5000, 0.2507, 0.0000], [0.5000, 0.5000, 0.2513], [0.5000, 0.5000, 0.7487], [0.5000, 0.7493, 0.0000], [0.5000, 0.7514, 0.5000], [0.7449, 0.0000, 0.0000], [0.7493, 0.5000, 0.0000], [0.7505, 0.2495, 0.2510], [0.7505, 0.2495, 0.7490], [0.7514, 0.5000, 0.5000], [0.7505, 0.7505, 0.2510], [0.7505, 0.7505, 0.7490], [0.7570, 0.0000, 0.5000]],
  "sg": "No. 123",
  "magnetic_moment_mub_per_cell": 2.86,
  "e_tot_ev_per_atom": -6.0383
}